A relaxed SrFe2O4 crystal. Source: Alexandria, functional PBE with a Hubbard U.

Cell and atoms, written as POSCAR:
```
SrFe2O4
1.0
-1.727 5.920 1.556
-4.329 -4.624 0.580
4.948 -0.022 3.996
Fe O Sr
4 8 2
Cartesian
-3.274 -1.251 1.518 Fe
0.500 4.011 4.003 Fe
1.362 1.050 3.226 Fe
-0.801 -1.262 3.517 Fe
0.248 0.060 4.719 O
2.690 -0.460 3.854 O
-2.487 -0.090 3.043 O
2.088 2.660 4.310 O
0.035 2.564 2.595 O
-1.851 -2.586 2.317 O
0.634 -0.559 2.144 O
0.888 -2.434 3.988 O
-2.222 2.123 2.456 Sr
0.000 0.000 0.000 Sr
```

Summary:
Space group = I4_1/amd
Theoretical density = 4675 kg/m3
Offset from the most stable computed form = 0.0665 eV/atom
Magnetic moment = 19.99 Bohr magnetons per cell